ScMn2Te | GGA-PBEsol | optimized geometry

Computed properties:
Raw formation energy: 0.0692 eV per atom

a b c (Å): 3.481 3.481 5.779
angles (deg): 90.00 90.00 90.00
Space group P4mm (No. 99)
Asymmetric unit:
Sc (0.000, 0.000, 0.000)
Mn (0.000, 0.000, 0.539)
Mn (0.500, 0.500, 0.755)
Te (0.500, 0.500, 0.287)



TlOs2Se | GGA-PBEsol | optimized geometry

Computed properties:
ΔE to the lowest computed polymorph: 64.0 meV per atom
Raw formation energy: 1.1130 eV per atom

a b c (Å): 2.911 4.607 5.038
angles (deg): 90.00 90.00 90.00
Space group Pmmm (No. 47)
Asymmetric unit:
Tl (0.000, 0.000, 0.000)
Os (0.000, 0.500, 0.500)
Os (0.500, 0.500, 0.000)
Se (0.500, 0.000, 0.500)



MgNi2O4 | GGA-PBEsol | optimized geometry

Computed properties:
Raw formation energy: -1.3166 eV per atom

a b c (Å): 8.184 8.184 8.184
angles (deg): 90.00 90.00 90.00
Space group Fd-3m (No. 227, origin choice 2)
Asymmetric unit:
Mg (0.125, 0.125, 0.125)
Ni (0.000, 0.000, 0.500)
O (0.014, 0.014, 0.736)